Compound: Ni2HgRu
Source: the Alexandria database
Functional: PBE
Structure: optimized geometry

Unit cell a=4.5135 b=4.5135 c=2.7873 alpha=90.00 beta=90.00 gamma=90.00
Last column: nearest neighbours and their distance in Å.
Space group P4/mmm (No. 123)
Unique sites:
Ni1 0.0000 0.5000 0.0000 (multiplicity 2)  4 Ru 2.65, 4 Hg 2.65, 2 Ni 2.79
Hg1 0.0000 0.0000 0.5000 (multiplicity 1)  8 Ni 2.65, 2 Hg 2.79
Ru1 0.5000 0.5000 0.5000 (multiplicity 1)  8 Ni 2.65, 2 Ru 2.79

Total magnetization ... 1.59 μB/cell
DFT formation energy ... 0.404 eV/atom

Compound: NiHg2Ru
Source: the Alexandria database
Functional: PBE
Structure: optimized geometry

Unit cell a=2.9617 b=2.9617 c=7.8655 alpha=90.00 beta=90.00 gamma=90.00
Last column: nearest neighbours and their distance in Å.
Space group P4mm (No. 99)
Unique sites:
Ni1 0.0000 0.0000 0.0000 (multiplicity 1)  4 Ru 2.51, 4 Hg 2.79
Hg1 0.0000 0.0000 0.4385 (multiplicity 1)  4 Ru 2.94, 4 Hg 2.96
Hg2 0.5000 0.5000 0.7662 (multiplicity 1)  4 Ni 2.79, 4 Hg 2.96
Ru1 0.5000 0.5000 0.1769 (multiplicity 1)  4 Ni 2.51

Offset from the most stable computed form ... 0 meV/atom
Total magnetization ... 0.81 μB/cell
DFT formation energy ... 0.359 eV/atom

Compound: NiHg2Ru
Source: the Alexandria database
Functional: PBE
Structure: optimized geometry

Unit cell a=3.0111 b=3.0111 c=7.3603 alpha=90.00 beta=90.00 gamma=90.00
Last column: nearest neighbours and their distance in Å.
Space group P4/mmm (No. 123)
Unique sites:
Ni1 0.0000 0.0000 0.0000 (multiplicity 1)  8 Hg 2.74, 4 Ni 3.01
Hg1 0.5000 0.5000 0.2348 (multiplicity 2)  4 Ni 2.74, 4 Ru 2.89, 4 Hg 3.01
Ru1 0.0000 0.0000 0.5000 (multiplicity 1)  8 Hg 2.89, 4 Ru 3.01

Offset from the most stable computed form ... 104 meV/atom
Total magnetization ... 1.26 μB/cell
DFT formation energy ... 0.463 eV/atom

Compound: Ni2HgRu
Source: the Alexandria database
Functional: PBE
Structure: optimized geometry

Unit cell a=4.1418 b=2.7158 c=10.0940 alpha=90.00 beta=90.00 gamma=90.00
Last column: nearest neighbours and their distance in Å.
Space group Amm2 (No. 38)
Unique sites:
Ni1 0.0000 0.0000 0.0000 (multiplicity 2)  4 Ni 2.46-2.72, 2 Ru 2.57, 4 Hg 2.73
Ni2 0.5000 0.0000 0.1307 (multiplicity 2)  4 Ni 2.46-2.72, 1 Hg 2.59, 4 Ru 2.62
Hg1 0.5000 0.0000 0.3873 (multiplicity 2)  7 Ni 2.59-2.81, 2 Hg 2.72
Ru1 0.0000 0.0000 0.7163 (multiplicity 2)  7 Ni 2.57-2.86, 2 Ru 2.72

Total magnetization ... 1.79 μB/cell
DFT formation energy ... 0.349 eV/atom